A plane-wave DFT calculation with PBE with a Hubbard U was carried out for an optimized crystal structure of MnIO2F.

Calculated values
The calculation puts the raw total energy at -4.7081 eV per atom.

CIF file:
```
data_MnIO2F
_cell_length_a 3.693
_cell_length_b 3.693
_cell_length_c 6.821
_cell_angle_alpha 90.00
_cell_angle_beta 90.00
_cell_angle_gamma 90.00
_space_group_name_H-M_alt 'P 4/m m m'
_space_group_IT_number 123
_space_group_name_Hall '-P 4 2'
loop_
_atom_site_label
_atom_site_type_symbol
_atom_site_fract_x
_atom_site_fract_y
_atom_site_fract_z
Mn1 Mn 0.000 0.000 0.000
I1 I 0.000 0.000 0.500
O1 O 0.000 0.500 0.000
F1 F 0.500 0.500 0.500
```